1.
A plane-wave DFT calculation with PBE was carried out for HoPS after structural relaxation. Values from VASP.

Crystal system: orthorhombic
VASP energy (Ry/atom): -0.4607
M_tot (μB/f.u.): 0.00
ρ (g cm⁻³): 6.419
V (Å³/cell): 471.8

```
&SYSTEM
  ibrav = 0, nat = 24, ntyp = 3
/
ATOMIC_SPECIES
Ho 164.93 Ho.upf
P 30.97 P.upf
S 32.06 S.upf
ATOMIC_POSITIONS angstrom
Ho 0.074 1.327 2.432
Ho 0.083 3.980 6.033
Ho 2.582 1.327 14.372
Ho 2.591 3.980 10.771
Ho 2.739 1.327 5.908
Ho 2.748 3.980 2.307
Ho 5.247 1.327 10.647
Ho 5.256 3.980 14.248
P 1.114 2.845 16.638
P 1.114 5.115 16.638
P 1.551 0.191 8.298
P 1.551 2.462 8.298
P 3.780 2.845 8.381
P 3.780 5.115 8.381
P 4.216 0.191 0.041
P 4.216 2.462 0.041
S 0.058 1.327 5.261
S 0.078 3.980 3.151
S 2.588 1.327 11.491
S 2.607 3.980 13.600
S 2.723 1.327 3.079
S 2.743 3.980 5.189
S 5.253 1.327 13.529
S 5.272 3.980 11.419
CELL_PARAMETERS angstrom
5.330 0.000 0.000
0.000 5.307 0.000
0.000 0.000 16.679
```

***

2.
A plane-wave DFT calculation with PBE was carried out for Ho4P3S after structural relaxation. Values from VASP.

Crystal system: cubic
VASP energy (Ry/atom): -0.4844
M_tot (μB/f.u.): 0.00
ρ (g cm⁻³): 7.408
V (Å³/cell): 175.9

```
&SYSTEM
  ibrav = 0, nat = 8, ntyp = 3
/
ATOMIC_SPECIES
Ho 164.93 Ho.upf
P 30.97 P.upf
S 32.06 S.upf
ATOMIC_POSITIONS angstrom
Ho 0.000 0.000 0.000
Ho 0.000 2.802 2.802
Ho 2.802 0.000 2.802
Ho 2.802 2.802 0.000
P 0.000 0.000 2.802
P 0.000 2.802 0.000
P 2.802 0.000 0.000
S 2.802 2.802 2.802
CELL_PARAMETERS angstrom
5.603 0.000 0.000
0.000 5.603 0.000
0.000 0.000 5.603
```

***

3.
A plane-wave DFT calculation with PBE was carried out for Ho2PS after structural relaxation. Values from VASP.

Crystal system: tetragonal
VASP energy (Ry/atom): -0.4806
M_tot (μB/f.u.): 0.00
ρ (g cm⁻³): 7.543
V (Å³/cell): 346.0

```
&SYSTEM
  ibrav = 0, nat = 16, ntyp = 3
/
ATOMIC_SPECIES
Ho 164.93 Ho.upf
P 30.97 P.upf
S 32.06 S.upf
ATOMIC_POSITIONS angstrom
Ho 0.000 1.389 1.345
Ho 0.000 1.389 7.056
Ho 0.000 4.168 4.146
Ho 0.000 4.168 9.857
Ho 2.779 1.389 4.256
Ho 2.779 1.389 9.747
Ho 2.779 4.168 1.455
Ho 2.779 4.168 6.946
P 0.000 1.389 9.802
P 0.000 4.168 1.400
P 2.779 1.389 7.001
P 2.779 4.168 4.201
S 0.000 1.389 4.201
S 0.000 4.168 7.001
S 2.779 1.389 1.400
S 2.779 4.168 9.802
CELL_PARAMETERS angstrom
5.557 0.000 0.000
0.000 5.557 0.000
0.000 0.000 11.202
```

***

4.
A plane-wave DFT calculation with PBE was carried out for Ho7PS5 after structural relaxation. Values from VASP.

Crystal system: monoclinic
VASP energy (Ry/atom): -0.4570
M_tot (μB/f.u.): 0.00
ρ (g cm⁻³): 7.907
V (Å³/cell): 565.3

```
&SYSTEM
  ibrav = 0, nat = 26, ntyp = 3
/
ATOMIC_SPECIES
Ho 164.93 Ho.upf
P 30.97 P.upf
S 32.06 S.upf
ATOMIC_POSITIONS angstrom
Ho 0.000 0.000 0.000
Ho -0.358 0.000 13.339
Ho 1.105 0.000 6.616
Ho 1.647 0.000 18.332
Ho 3.104 0.000 11.612
Ho 3.568 0.000 1.731
Ho 4.898 0.000 19.884
Ho 5.241 0.000 16.597
Ho 6.580 0.000 9.790
Ho 7.074 0.000 3.355
Ho 8.409 0.000 21.591
Ho 8.887 0.000 15.161
Ho 10.227 0.000 8.352
Ho 10.581 0.000 5.065
P 5.466 0.000 7.089
P 10.005 0.000 17.864
S 0.299 0.000 20.738
S 0.712 0.000 15.814
S 2.036 0.000 9.136
S 2.462 0.000 4.211
S 3.831 0.000 22.405
S 4.203 0.000 14.121
S 7.733 0.000 12.476
S 8.144 0.000 0.865
S 11.263 0.000 10.830
S 11.651 0.000 2.544
CELL_PARAMETERS angstrom
6.360 -1.914 0.000
6.360 1.914 0.000
-0.805 0.000 23.217
```

***

5.
A plane-wave DFT calculation with PBE was carried out for Ho6P5S after structural relaxation. Values from VASP.

Crystal system: monoclinic
VASP energy (Ry/atom): -0.4863
M_tot (μB/f.u.): 0.00
ρ (g cm⁻³): 7.345
V (Å³/cell): 266.0

```
&SYSTEM
  ibrav = 0, nat = 12, ntyp = 3
/
ATOMIC_SPECIES
Ho 164.93 Ho.upf
P 30.97 P.upf
S 32.06 S.upf
ATOMIC_POSITIONS angstrom
Ho -0.012 2.007 4.853
Ho 1.121 0.000 1.640
Ho -0.012 -2.007 4.853
Ho 4.601 2.007 1.637
Ho 3.467 0.000 4.850
Ho 4.601 -2.007 1.637
P -1.146 0.000 3.245
P 3.441 3.967 0.000
P 2.294 1.973 3.245
P 2.294 -1.973 3.245
P 3.441 -3.967 0.000
S 3.441 0.000 0.000
CELL_PARAMETERS angstrom
3.441 -5.955 0.000
3.441 5.955 0.000
-2.293 0.000 6.491
```

***

6.
A plane-wave DFT calculation with PBE was carried out for Ho4P3S after structural relaxation. Values from VASP.

Crystal system: tetragonal
VASP energy (Ry/atom): -0.4851
M_tot (μB/f.u.): 0.00
ρ (g cm⁻³): 7.405
V (Å³/cell): 351.9

```
&SYSTEM
  ibrav = 0, nat = 16, ntyp = 3
/
ATOMIC_SPECIES
Ho 164.93 Ho.upf
P 30.97 P.upf
S 32.06 S.upf
ATOMIC_POSITIONS angstrom
Ho 0.000 0.000 2.769
Ho 0.000 0.000 8.442
Ho 0.000 2.801 0.000
Ho 0.000 2.801 5.606
Ho 2.801 0.000 0.000
Ho 2.801 0.000 5.606
Ho 2.801 2.801 2.837
Ho 2.801 2.801 8.374
P 0.000 0.000 0.000
P 0.000 2.801 2.803
P 0.000 2.801 8.408
P 2.801 0.000 2.803
P 2.801 0.000 8.408
P 2.801 2.801 5.606
S 0.000 0.000 5.606
S 2.801 2.801 0.000
CELL_PARAMETERS angstrom
5.603 0.000 0.000
0.000 5.603 0.000
0.000 0.000 11.211
```

***

7.
A plane-wave DFT calculation with PBE was carried out for Ho8P4S3 after structural relaxation. Values from VASP.

Crystal system: monoclinic
VASP energy (Ry/atom): -0.4711
M_tot (μB/f.u.): 0.00
ρ (g cm⁻³): 7.475
V (Å³/cell): 342.0

```
&SYSTEM
  ibrav = 0, nat = 15, ntyp = 3
/
ATOMIC_SPECIES
Ho 164.93 Ho.upf
P 30.97 P.upf
S 32.06 S.upf
ATOMIC_POSITIONS angstrom
Ho 0.031 0.000 2.727
Ho 5.541 2.811 0.000
Ho 2.759 0.000 0.018
Ho 2.779 2.743 2.779
Ho 2.779 -2.743 2.779
Ho 2.798 0.000 5.541
Ho 5.541 -2.811 0.000
Ho 5.526 0.000 2.832
P 0.000 0.000 0.000
P 2.770 2.776 0.000
P 2.770 -2.776 0.000
P 2.779 0.000 2.779
S -2.762 0.000 2.779
S 0.008 2.776 2.779
S 0.008 -2.776 2.779
CELL_PARAMETERS angstrom
5.541 -5.552 0.000
5.541 5.552 0.000
-5.524 0.000 5.559
```

***

8.
A plane-wave DFT calculation with PBE was carried out for Ho2PS after structural relaxation. Values from VASP.

Crystal system: orthorhombic
VASP energy (Ry/atom): -0.4808
M_tot (μB/f.u.): 0.00
ρ (g cm⁻³): 7.539
V (Å³/cell): 173.1

```
&SYSTEM
  ibrav = 0, nat = 8, ntyp = 3
/
ATOMIC_SPECIES
Ho 164.93 Ho.upf
P 30.97 P.upf
S 32.06 S.upf
ATOMIC_POSITIONS angstrom
Ho 0.985 1.390 0.934
Ho 0.985 1.390 5.002
Ho 2.956 4.171 2.894
Ho 2.956 4.171 6.962
P 0.985 4.171 1.007
P 2.956 1.390 6.890
S 0.985 4.171 4.910
S 2.956 1.390 2.987
CELL_PARAMETERS angstrom
3.941 0.000 0.000
0.000 5.561 0.000
0.000 0.000 7.897
```

***

9.
A plane-wave DFT calculation with PBE was carried out for Ho6PS12 after structural relaxation. Values from VASP.

Crystal system: trigonal
VASP energy (Ry/atom): -0.4322
M_tot (μB/f.u.): 0.00
ρ (g cm⁻³): 5.452
V (Å³/cell): 428.0

```
&SYSTEM
  ibrav = 0, nat = 19, ntyp = 3
/
ATOMIC_SPECIES
Ho 164.93 Ho.upf
P 30.97 P.upf
S 32.06 S.upf
ATOMIC_POSITIONS angstrom
Ho -2.891 -2.795 5.856
Ho -3.866 1.106 5.287
Ho 0.975 -3.901 5.287
Ho -0.975 3.901 5.856
Ho 3.866 -1.106 5.856
Ho 2.891 2.795 5.287
P 0.000 0.000 5.571
S -1.472 -4.832 4.836
S -4.920 -1.141 6.306
S -1.867 -0.620 4.330
S -3.448 3.691 4.836
S 1.470 -1.307 4.330
S -0.397 -1.927 6.813
S 0.397 1.927 4.330
S -1.470 1.307 6.813
S 3.448 -3.691 6.306
S 1.867 0.620 6.813
S 4.920 1.141 4.836
S 1.472 4.832 6.306
CELL_PARAMETERS angstrom
5.768 3.330 3.714
-5.768 3.330 3.714
0.000 -6.660 3.714
```

***

10.
A plane-wave DFT calculation with PBE was carried out for HoPS after structural relaxation. Values from VASP.

Crystal system: orthorhombic
VASP energy (Ry/atom): -0.4566
M_tot (μB/f.u.): 0.00
ρ (g cm⁻³): 6.500
V (Å³/cell): 233.0

```
&SYSTEM
  ibrav = 0, nat = 12, ntyp = 3
/
ATOMIC_SPECIES
Ho 164.93 Ho.upf
P 30.97 P.upf
S 32.06 S.upf
ATOMIC_POSITIONS angstrom
Ho 1.447 0.912 1.475
Ho 2.033 2.735 6.063
Ho 4.928 0.912 3.113
Ho 5.514 2.735 7.702
P 0.629 0.912 4.239
P 2.851 2.735 8.828
P 4.110 0.912 0.349
P 6.332 2.735 4.937
S 0.631 0.912 7.760
S 2.850 2.735 3.171
S 4.111 0.912 6.005
S 6.330 2.735 1.417
CELL_PARAMETERS angstrom
6.961 0.000 0.000
0.000 3.647 0.000
0.000 0.000 9.177
```